Entry 1:
# MgInB, optimized geometry, DFT PBE-GGA
data_MgInB
_chemical_formula_sum 'Mg2 In2 B2'
_cell_length_a 5.5151
_cell_length_b 3.1357
_cell_length_c 6.9858
_cell_angle_alpha 90.00
_cell_angle_beta 109.35
_cell_angle_gamma 90.00
_symmetry_space_group_name_H-M 'P 1 21/m 1'
_symmetry_Int_Tables_number 11
_symmetry_space_group_name_Hall '-P 2yb'
loop_
_atom_site_label
_atom_site_fract_x
_atom_site_fract_y
_atom_site_fract_z
Mg1 0.1845 0.2500 0.2188
In1 0.3026 0.2500 0.8040
B1 0.4901 0.7500 0.4616
# total energy	-3.51	eV per atom
# energy relative to the elements	158	meV per atom



Entry 2:
# Mg2InB2, optimized geometry, DFT PBE-GGA
data_Mg2InB2
_chemical_formula_sum 'Mg4 In2 B4'
_cell_length_a 7.4056
_cell_length_b 7.4056
_cell_length_c 2.8492
_cell_angle_alpha 90.00
_cell_angle_beta 90.00
_cell_angle_gamma 90.00
_symmetry_space_group_name_H-M 'P 4/m b m'
_symmetry_Int_Tables_number 127
_symmetry_space_group_name_Hall '-P 4 2ab'
loop_
_atom_site_label
_atom_site_fract_x
_atom_site_fract_y
_atom_site_fract_z
Mg1 0.1313 0.3687 0.0000
In1 0.0000 0.0000 0.0000
B1 0.1706 0.6706 0.5000
# total energy	-2.94	eV per atom
# energy relative to the elements	917	meV per atom